No. 1
Below is a geometry-optimized Zn2Hg5F12 structure, with properties calculated at the PBE level.

Unit cell a=6.309 b=7.328 c=7.487 alpha=105.54 beta=90.00 gamma=115.50
Sites, in units of the cell vectors:
Zn (0.753, 0.000, 0.000)
Zn (0.247, 0.000, 0.000)
Hg (0.300, 0.600, 0.629)
Hg (0.304, 0.608, 0.167)
Hg (0.000, 0.000, 0.500)
Hg (0.696, 0.392, 0.833)
Hg (0.700, 0.400, 0.371)
F (0.003, 0.007, 0.181)
F (0.103, 0.674, 0.920)
F (0.571, 0.674, 0.920)
F (0.098, 0.710, 0.423)
F (0.612, 0.710, 0.423)
F (0.500, 0.999, 0.816)
F (0.500, 0.001, 0.184)
F (0.902, 0.290, 0.577)
F (0.388, 0.290, 0.577)
F (0.897, 0.326, 0.080)
F (0.429, 0.326, 0.080)
F (0.997, 0.993, 0.819)

Summary:
- Raw total energy: -2.9979 eV/atom
- ΔE_f (raw): -1.60 eV/atom
- Theoretical density: 7.58 g/cm³

No. 2
Below is a geometry-optimized YTlPt structure, with properties calculated at the PBE level.

Unit cell a=4.749 b=4.749 c=3.523 alpha=90.00 beta=90.00 gamma=120.00
Sites, in units of the cell vectors:
Pt (0.000, 0.000, 0.166)
Tl (0.667, 0.333, 0.167)
Y (0.333, 0.667, 0.667)

Summary:
- ΔE_f: -0.638 eV/atom
- Raw total energy: -5.5949 eV/atom
- Theoretical density: 11.78 g/cm³

No. 3
Below is a geometry-optimized UZn2Pt3 structure, with properties calculated at the PBE level.

Unit cell a=3.209 b=3.209 c=9.665 alpha=90.00 beta=90.00 gamma=90.00
Last column: magnetic moment on the atom in μB.
Sites, in units of the cell vectors:
U (0.500, 0.500, 0.500)  1.18
Zn (0.500, 0.500, 0.852)  0.00
Zn (0.500, 0.500, 0.148)  0.00
Pt (0.000, 0.000, 0.000)  -0.02
Pt (0.000, 0.000, 0.694)  -0.07
Pt (0.000, 0.000, 0.306)  -0.07

Summary:
- ΔE_f: -0.567 eV/atom
- Raw total energy: -5.8936 eV/atom
- Theoretical density: 15.92 g/cm³

No. 4
Below is a geometry-optimized TaFeP2 structure, with properties calculated at the PBE level.

Unit cell a=4.222 b=4.222 c=4.222 alpha=60.00 beta=60.00 gamma=60.00
Last column: magnetic moment on the atom in μB.
Sites, in units of the cell vectors:
P (0.250, 0.250, 0.250)  -0.04
P (0.750, 0.750, 0.750)  -0.04
Fe (0.000, 0.000, 0.000)  1.27
Ta (0.500, 0.500, 0.500)  -0.06

Summary:
- ΔE_f: -0.206 eV/atom
- Raw total energy: -7.9900 eV/atom
- Theoretical density: 9.32 g/cm³

No. 5
Below is a geometry-optimized RbTe2Mo2 structure, with properties calculated at the PBE level.

Unit cell a=8.926 b=8.926 c=3.412 alpha=90.00 beta=90.00 gamma=90.00
Sites, in units of the cell vectors:
Mo (0.413, 0.913, 0.000)
Mo (0.913, 0.587, 0.000)
Mo (0.587, 0.087, 0.000)
Mo (0.087, 0.413, 0.000)
Te (0.165, 0.665, 0.500)
Te (0.665, 0.835, 0.500)
Te (0.835, 0.335, 0.500)
Te (0.335, 0.165, 0.500)
Rb (0.000, 0.000, 0.000)
Rb (0.500, 0.500, 0.000)

Summary:
- Raw total energy: -5.4349 eV/atom
- ΔE_f (raw): 0.35 eV/atom
- Theoretical density: 6.50 g/cm³

No. 6
Below is a geometry-optimized La4PdN structure, with properties calculated at the PBE level.

Unit cell a=6.479 b=7.263 c=8.449 alpha=108.98 beta=105.44 gamma=105.83
Sites, in units of the cell vectors:
La (0.298, 0.942, 0.604)
La (0.019, 0.815, 0.093)
La (0.193, 0.338, 0.396)
La (0.426, 0.722, 0.907)
La (0.702, 0.058, 0.396)
La (0.807, 0.662, 0.604)
La (0.981, 0.185, 0.907)
La (0.574, 0.278, 0.093)
Pd (0.367, 0.617, 0.234)
Pd (0.633, 0.383, 0.766)
N (0.819, 0.069, 0.137)
N (0.181, 0.931, 0.863)

Summary:
- Raw total energy: -6.1862 eV/atom
- ΔE_f (raw): -0.65 eV/atom
- Theoretical density: 6.74 g/cm³

No. 7
Below is a geometry-optimized Ti3BeGe structure, with properties calculated at the PBE level.

Unit cell a=4.760 b=6.072 c=6.072 alpha=120.00 beta=90.00 gamma=90.00
Sites, in units of the cell vectors:
Ti (0.250, 0.816, 0.184)
Ti (0.750, 0.184, 0.816)
Ti (0.250, 0.816, 0.633)
Ti (0.750, 0.184, 0.367)
Ti (0.250, 0.367, 0.184)
Ti (0.750, 0.633, 0.816)
Be (0.000, 0.000, 0.000)
Be (0.500, 0.000, 0.000)
Ge (0.250, 0.334, 0.666)
Ge (0.750, 0.666, 0.334)

Summary:
- ΔE_f: -0.113 eV/atom
- Raw total energy: -6.5188 eV/atom
- Theoretical density: 4.92 g/cm³

No. 8
Below is a geometry-optimized AcBeGe structure, with properties calculated at the PBE level.

Unit cell a=4.642 b=4.124 c=4.124 alpha=120.00 beta=90.00 gamma=90.00
Last column: magnetic moment on the atom in μB.
Sites, in units of the cell vectors:
Be (0.166, 0.667, 0.333)  0.04
Ac (0.667, 0.333, 0.667)  0.10
Ge (0.167, 0.000, 0.000)  -0.01

Summary:
- ΔE_f: -0.499 eV/atom
- Raw total energy: -4.6495 eV/atom
- Theoretical density: 7.50 g/cm³

No. 9
Below is a geometry-optimized Ge2Pd8Pb structure, with properties calculated at the PBE level.

Unit cell a=4.603 b=6.736 c=6.736 alpha=112.46 beta=99.52 gamma=99.52
Sites, in units of the cell vectors:
Ge (0.000, 0.319, 0.681)
Ge (0.000, 0.681, 0.319)
Pd (0.903, 0.927, 0.674)
Pd (0.903, 0.674, 0.927)
Pd (0.317, 0.612, 0.612)
Pd (0.500, 0.758, 0.242)
Pd (0.500, 0.242, 0.758)
Pd (0.683, 0.388, 0.388)
Pd (0.097, 0.326, 0.073)
Pd (0.097, 0.073, 0.326)
Pb (0.500, 0.000, 0.000)

Summary:
- ΔE_f: -0.344 eV/atom
- Raw total energy: -5.2970 eV/atom
- Theoretical density: 10.85 g/cm³

No. 10
Below is a geometry-optimized HfSiIN2 structure, with properties calculated at the PBE level.

Unit cell a=4.183 b=4.183 c=5.856 alpha=90.00 beta=90.00 gamma=90.00
Sites, in units of the cell vectors:
I (0.000, 0.000, 0.500)
Si (0.500, 0.500, 0.500)
Hf (0.000, 0.000, 0.000)
N (0.000, 0.500, 0.000)
N (0.500, 0.000, 0.000)

Summary:
- Raw total energy: -6.0721 eV/atom
- ΔE_f (raw): 0.64 eV/atom
- Theoretical density: 5.86 g/cm³

No. 11
Below is a geometry-optimized Er7Mg5Pb structure, with properties calculated at the PBE level.

Unit cell a=6.134 b=8.375 c=8.375 alpha=77.06 beta=68.52 gamma=68.52
Sites, in units of the cell vectors:
Er (0.631, 0.369, 0.369)
Er (0.359, 0.641, 0.641)
Er (0.003, 0.334, 0.659)
Er (0.003, 0.659, 0.334)
Er (0.267, 0.233, 0.233)
Er (0.506, 0.811, 0.176)
Er (0.506, 0.176, 0.811)
Mg (0.507, 0.993, 0.502)
Mg (0.998, 0.993, 0.502)
Mg (0.507, 0.502, 0.993)
Mg (0.998, 0.502, 0.993)
Mg (0.749, 0.751, 0.751)
Pb (0.964, 0.036, 0.036)

Summary:
- ΔE_f: 0.054 eV/atom
- Raw total energy: -3.3011 eV/atom
- Theoretical density: 6.72 g/cm³

No. 12
Below is a geometry-optimized Sr2Ni3Ge4Rh structure, with properties calculated at the PBE level.

Unit cell a=4.184 b=4.184 c=10.268 alpha=90.00 beta=90.00 gamma=90.00
Sites, in units of the cell vectors:
Sr (0.500, 0.000, 0.244)
Sr (0.000, 0.500, 0.756)
Ni (0.000, 0.000, 0.500)
Ni (0.500, 0.000, 0.875)
Ni (0.000, 0.500, 0.125)
Ge (0.500, 0.500, 0.000)
Ge (0.000, 0.000, 0.000)
Ge (0.500, 0.000, 0.631)
Ge (0.000, 0.500, 0.369)
Rh (0.500, 0.500, 0.500)

Summary:
- ΔE_f: -0.545 eV/atom
- Raw total energy: -5.1982 eV/atom
- Theoretical density: 6.88 g/cm³

What is the theoretical density in the twelfth record?
6.88 g/cm³

What is the theoretical density in the ninth record?
10.85 g/cm³

Which value of raw total energy does entry 9 give?
-5.2970 eV/atom